[1]
Compound: Ni2Ge3S3
Source: Alexandria
Functional: GGA-PBE
Structure: optimized geometry

Summary:
crystal system = trigonal
calculated total energy = -5.03 eV per atom

```
data_Ni2Ge3S3
_cell_length_a 11.6305
_cell_length_b 11.6305
_cell_length_c 14.1887
_cell_angle_alpha 90.00
_cell_angle_beta 90.00
_cell_angle_gamma 120.00
_symmetry_space_group_name_H-M 'R -3'
_symmetry_Int_Tables_number 148
_symmetry_space_group_name_Hall '-R 3'
loop_
_atom_site_label
_atom_site_fract_x
_atom_site_fract_y
_atom_site_fract_z
Ni1 0.0000 0.0000 0.2446
Ni2 0.0006 0.5020 0.7568
Ge1 0.0141 0.1792 0.3372
Ge2 0.0553 0.6015 0.6032
S1 0.0221 0.1839 0.8331
S2 0.0526 0.6007 0.0974
```

***

[2]
Compound: Ni4Ge2S
Source: Alexandria
Functional: GGA-PBE
Structure: optimized geometry

Summary:
crystal system = tetragonal
calculated total energy = -5.04 eV per atom

```
data_Ni4Ge2S
_cell_length_a 4.161
_cell_length_b 4.161
_cell_length_c 12.240
_cell_angle_alpha 90.00
_cell_angle_beta 90.00
_cell_angle_gamma 90.00
_symmetry_space_group_name_H-M 'I 4/m m m'
_symmetry_Int_Tables_number 139
_symmetry_space_group_name_Hall '-I 4 2'
loop_
_atom_site_label
_atom_site_fract_x
_atom_site_fract_y
_atom_site_fract_z
Ni1 0.000 0.000 0.172
Ni2 0.000 0.500 0.000
Ge1 0.000 0.000 0.361
S1 0.000 0.000 0.000
```

***

[3]
Compound: NiGeS2
Source: Alexandria
Functional: GGA-PBE
Structure: optimized geometry

Summary:
crystal system = trigonal
calculated total energy = -4.67 eV per atom

```
data_NiGeS2
_cell_length_a 3.5752
_cell_length_b 3.5752
_cell_length_c 20.8531
_cell_angle_alpha 90.00
_cell_angle_beta 90.00
_cell_angle_gamma 120.00
_symmetry_space_group_name_H-M 'R -3 m'
_symmetry_Int_Tables_number 166
_symmetry_space_group_name_Hall '-R 3 2"'
loop_
_atom_site_label
_atom_site_fract_x
_atom_site_fract_y
_atom_site_fract_z
Ni1 0.0000 0.0000 0.0000
Ge1 0.0000 0.0000 0.5000
S1 0.0000 0.0000 0.1000
```

***

[4]
Compound: NiGeS2
Source: Alexandria
Functional: GGA-PBE
Structure: optimized geometry

Summary:
crystal system = trigonal
calculated total energy = -4.82 eV per atom

```
data_NiGeS2
_cell_length_a 3.7681
_cell_length_b 3.7681
_cell_length_c 18.8342
_cell_angle_alpha 90.00
_cell_angle_beta 90.00
_cell_angle_gamma 120.00
_symmetry_space_group_name_H-M 'R 3 m'
_symmetry_Int_Tables_number 160
_symmetry_space_group_name_Hall 'R 3 -2"'
loop_
_atom_site_label
_atom_site_fract_x
_atom_site_fract_y
_atom_site_fract_z
Ni1 0.0000 0.0000 0.0000
Ge1 0.0000 0.0000 0.4839
S1 0.0000 0.0000 0.3564
S2 0.0000 0.0000 0.8829
```

***

What density of states at the Fermi level values result from the calculations? In sequence: 67.13, 8.80, 9.15, 8.64 states/eV per cell.